First-principles (PBE-GGA) data for crystalline DyLu2Tl at its relaxed geometry, as listed in Alexandria.

Computed properties:
Total DFT energy (no corrections) ... -4.16 eV per atom
Energy relative to the lowest polymorph listed for this composition ... 0 meV/atom

abc: 3.5741 3.5741 8.9367
angles: 90.00 90.00 90.00
Space group P4/mmm (No. 123)
Inequivalent atoms, fractional coordinates:
Dy (0.0000, 0.0000, 0.0000) (multiplicity 1)
Lu (0.5000, 0.5000, 0.2697) (multiplicity 2)
Tl (0.0000, 0.0000, 0.5000) (multiplicity 1)